VASP calculation (GGA-PBE) on an optimized crystal structure of Mn5Mo.

Results
**D(E_F)**: 8.59 states/eV/f.u.
**Space-group type**: No. 123
**Formation energy from the elements**: 0.092 eV per atom

Lattice parameters (Å, degrees): 2.6012 2.6012 10.8707 90.00 90.00 90.00
With the nearest neighbours (Å) after each atom.
Sites, in units of the cell vectors:
1 Mn 0.0000 0.0000 0.8099  8 Mn 2.46-2.60
2 Mn 0.0000 0.0000 0.5000  12 Mn 2.53-2.60
3 Mn 0.5000 0.5000 0.6597  12 Mn 2.46-2.60
4 Mn 0.0000 0.0000 0.1901  8 Mn 2.46-2.60
5 Mn 0.5000 0.5000 0.3403  12 Mn 2.46-2.60
6 Mo 0.5000 0.5000 0.0000  4 Mo 2.60, 8 Mn 2.77

VASP calculation (GGA-PBE) on an optimized crystal structure of MnBeFe2H.

Results
**D(E_F)**: 3.68 states/eV/f.u.
**Final energy**: -6.57 eV/atom
**Space-group type**: No. 123

Lattice parameters (Å, degrees): 3.5793 3.4018 3.5793 90.00 90.00 90.00
With the nearest neighbours (Å) after each atom.
Sites, in units of the cell vectors:
1 Fe 0.5000 0.0000 0.0000  2 H 1.79
2 Fe 0.0000 0.0000 0.5000  2 H 1.79
3 H 0.0000 0.0000 0.0000  2 Be 1.70, 4 Fe 1.79
4 Mn 0.5000 0.5000 0.5000  8 Fe 2.47, 4 Be 2.53
5 Be 0.0000 0.5000 0.0000  2 H 1.70

VASP calculation (GGA-PBE) on an optimized crystal structure of KAlAg2.

Results
**D(E_F)**: 1.69 states/eV/f.u.
**Space-group type**: No. 119
**Formation energy from the elements**: 0.347 eV per atom

Lattice parameters (Å, degrees): 5.4644 5.4644 5.4644 130.36 130.36 72.84
With the nearest neighbours (Å) after each atom.
Sites, in units of the cell vectors:
1 K 0.7500 0.2500 0.5000  8 Ag 3.18-3.24, 4 Al 3.18
2 Ag 0.2500 0.7500 0.5000  4 Al 3.18, 4 Ag 3.18, 4 K 3.24
3 Ag 0.0000 0.0000 0.0000  4 K 3.18, 4 Ag 3.18, 4 Al 3.24
4 Al 0.5000 0.5000 0.0000  8 Ag 3.18-3.24, 4 K 3.18